#A
# MoBr2Cl, optimized geometry, DFT PBEsol
data_MoBr2Cl
_chemical_formula_sum 'Mo2 Br4 Cl2'
_cell_length_a 2.986
_cell_length_b 5.877
_cell_length_c 10.595
_cell_angle_alpha 90.00
_cell_angle_beta 90.00
_cell_angle_gamma 90.00
_symmetry_space_group_name_H-M 'C m m 2'
_symmetry_Int_Tables_number 35
loop_
_symmetry_equiv_pos_as_xyz
'x,y,z'
'-x,-y,z'
'-x,y,z'
'x,-y,z'
'x+1/2,y+1/2,z'
'-x+1/2,-y+1/2,z'
'-x+1/2,y+1/2,z'
'x+1/2,-y+1/2,z'
loop_
_atom_site_label
_atom_site_type_symbol
_atom_site_fract_x
_atom_site_fract_y
_atom_site_fract_z
Mo1 Mo 0.000 0.000 0.000
Br1 Br 0.000 0.000 0.503
Br2 Br 0.000 0.500 0.192
Cl1 Cl 0.000 0.500 0.823
# DOS(E_F): 4.86 states/eV/cell

#B
# MoBr2Cl, optimized geometry, DFT PBEsol
data_MoBr2Cl
_chemical_formula_sum 'Mo2 Br4 Cl2'
_cell_length_a 12.190
_cell_length_b 3.224
_cell_length_c 6.475
_cell_angle_alpha 90.00
_cell_angle_beta 121.66
_cell_angle_gamma 90.00
_symmetry_space_group_name_H-M 'C 1 m 1'
_symmetry_Int_Tables_number 8
loop_
_symmetry_equiv_pos_as_xyz
'x,y,z'
'x,-y,z'
'x+1/2,y+1/2,z'
'x+1/2,-y+1/2,z'
loop_
_atom_site_label
_atom_site_type_symbol
_atom_site_fract_x
_atom_site_fract_y
_atom_site_fract_z
Mo1 Mo 0.000 0.000 0.000
Br1 Br 0.330 0.000 0.685
Br2 Br 0.493 0.000 0.302
Cl1 Cl 0.151 0.500 0.008
# DOS(E_F): 6.95 states/eV/cell

#C
# MoBr2Cl, optimized geometry, DFT PBEsol
data_MoBr2Cl
_chemical_formula_sum 'Mo1 Br2 Cl1'
_cell_length_a 4.916
_cell_length_b 4.916
_cell_length_c 3.263
_cell_angle_alpha 90.00
_cell_angle_beta 90.00
_cell_angle_gamma 90.00
_symmetry_space_group_name_H-M 'P 4/m m m'
_symmetry_Int_Tables_number 123
_symmetry_space_group_name_Hall '-P 4 2'
loop_
_atom_site_label
_atom_site_type_symbol
_atom_site_fract_x
_atom_site_fract_y
_atom_site_fract_z
Mo1 Mo 0.000 0.000 0.000
Br1 Br 0.000 0.500 0.500
Cl1 Cl 0.500 0.500 0.000
# DOS(E_F): 3.53 states/eV/cell

#B (375 meV per atom below the next structure)

#A
# MoBrCl2, optimized geometry, DFT PBEsol
data_MoBrCl2
_chemical_formula_sum 'Mo2 Br2 Cl4'
_cell_length_a 2.981
_cell_length_b 5.871
_cell_length_c 9.849
_cell_angle_alpha 90.00
_cell_angle_beta 90.00
_cell_angle_gamma 90.00
_symmetry_space_group_name_H-M 'C m m 2'
_symmetry_Int_Tables_number 35
loop_
_symmetry_equiv_pos_as_xyz
'x,y,z'
'-x,-y,z'
'-x,y,z'
'x,-y,z'
'x+1/2,y+1/2,z'
'-x+1/2,-y+1/2,z'
'-x+1/2,y+1/2,z'
'x+1/2,-y+1/2,z'
loop_
_atom_site_label
_atom_site_type_symbol
_atom_site_fract_x
_atom_site_fract_y
_atom_site_fract_z
Mo1 Mo 0.000 0.000 0.000
Br1 Br 0.000 0.500 0.206
Cl1 Cl 0.000 0.000 0.501
Cl2 Cl 0.000 0.500 0.810
# DOS(E_F): 6.42 states/eV/cell

#B
# MoBrCl2, optimized geometry, DFT PBEsol
data_MoBrCl2
_chemical_formula_sum 'Mo2 Br2 Cl4'
_cell_length_a 3.065
_cell_length_b 4.580
_cell_length_c 13.349
_cell_angle_alpha 90.00
_cell_angle_beta 90.00
_cell_angle_gamma 90.00
_symmetry_space_group_name_H-M 'I m m 2'
_symmetry_Int_Tables_number 44
loop_
_symmetry_equiv_pos_as_xyz
'x,y,z'
'-x,-y,z'
'-x,y,z'
'x,-y,z'
'x+1/2,y+1/2,z+1/2'
'-x+1/2,-y+1/2,z+1/2'
'-x+1/2,y+1/2,z+1/2'
'x+1/2,-y+1/2,z+1/2'
loop_
_atom_site_label
_atom_site_type_symbol
_atom_site_fract_x
_atom_site_fract_y
_atom_site_fract_z
Mo1 Mo 0.000 0.000 0.000
Br1 Br 0.000 0.500 0.655
Cl1 Cl 0.000 0.000 0.499
Cl2 Cl 0.000 0.500 0.355
# DOS(E_F): 3.63 states/eV/cell

#C
# MoBrCl2, optimized geometry, DFT PBEsol
data_MoBrCl2
_chemical_formula_sum 'Mo3 Br3 Cl6'
_cell_length_a 3.8458
_cell_length_b 3.8458
_cell_length_c 20.3409
_cell_angle_alpha 90.00
_cell_angle_beta 90.00
_cell_angle_gamma 120.00
_symmetry_space_group_name_H-M 'R 3 m'
_symmetry_Int_Tables_number 160
_symmetry_space_group_name_Hall 'R 3 -2"'
loop_
_atom_site_label
_atom_site_type_symbol
_atom_site_fract_x
_atom_site_fract_y
_atom_site_fract_z
Mo1 Mo 0.0000 0.0000 0.0000
Br1 Br 0.0000 0.0000 0.7358
Cl1 Cl 0.0000 0.0000 0.2772
Cl2 Cl 0.0000 0.0000 0.5065
# DOS(E_F): 1.55 states/eV/cell

#B (242 meV per atom below the next structure)

#A
# MoSeBr2Cl, optimized geometry, DFT PBEsol
data_MoSeBr2Cl
_chemical_formula_sum 'Mo1 Se1 Br2 Cl1'
_cell_length_a 4.972
_cell_length_b 4.972
_cell_length_c 4.804
_cell_angle_alpha 90.00
_cell_angle_beta 90.00
_cell_angle_gamma 90.00
_symmetry_space_group_name_H-M 'P 4/m m m'
_symmetry_Int_Tables_number 123
_symmetry_space_group_name_Hall '-P 4 2'
loop_
_atom_site_label
_atom_site_type_symbol
_atom_site_fract_x
_atom_site_fract_y
_atom_site_fract_z
Mo1 Mo 0.000 0.000 0.000
Se1 Se 0.000 0.000 0.500
Br1 Br 0.000 0.500 0.000
Cl1 Cl 0.500 0.500 0.500
# DOS(E_F): 2.72 states/eV/cell

#B
# MoSeBr2Cl, optimized geometry, DFT PBEsol
data_MoSeBr2Cl
_chemical_formula_sum 'Mo1 Se1 Br2 Cl1'
_cell_length_a 5.095
_cell_length_b 5.095
_cell_length_c 5.000
_cell_angle_alpha 90.00
_cell_angle_beta 90.00
_cell_angle_gamma 90.00
_symmetry_space_group_name_H-M 'P 4/m m m'
_symmetry_Int_Tables_number 123
_symmetry_space_group_name_Hall '-P 4 2'
loop_
_atom_site_label
_atom_site_type_symbol
_atom_site_fract_x
_atom_site_fract_y
_atom_site_fract_z
Mo1 Mo 0.000 0.000 0.000
Se1 Se 0.500 0.500 0.000
Br1 Br 0.000 0.500 0.500
Cl1 Cl 0.500 0.500 0.500
# DOS(E_F): 4.75 states/eV/cell

#A (1212 meV per atom below the next structure)